# ReIr2Pt (PBE, relaxed)
# Magnetic moment (μB/atom): 0.00
# Energy relative to the elements (eV/atom): 0.874
data_ReIr2Pt
_cell_length_a 6.1988
_cell_length_b 6.1988
_cell_length_c 8.6980
_cell_angle_alpha 90.00
_cell_angle_beta 90.00
_cell_angle_gamma 90.00
_symmetry_space_group_name_H-M 'I -4 2 d'
_symmetry_Int_Tables_number 122
_symmetry_space_group_name_Hall 'I -4 2bw'
loop_
_atom_site_label
_atom_site_type_symbol
_atom_site_fract_x
_atom_site_fract_y
_atom_site_fract_z
Re1 Re 0.0000 0.0000 0.0000
Ir1 Ir 0.2345 0.2500 0.1250
Pt1 Pt 0.0000 0.0000 0.5000

# Tb3ZrAl8 (PBE, relaxed)
# Magnetic moment (μB/atom): 0.00
# Energy relative to the elements (eV/atom): -0.511
data_Tb3ZrAl8
_cell_length_a 5.5084
_cell_length_b 5.5084
_cell_length_c 27.0416
_cell_angle_alpha 90.00
_cell_angle_beta 90.00
_cell_angle_gamma 120.00
_symmetry_space_group_name_H-M 'R 3 m'
_symmetry_Int_Tables_number 160
_symmetry_space_group_name_Hall 'R 3 -2"'
loop_
_atom_site_label
_atom_site_type_symbol
_atom_site_fract_x
_atom_site_fract_y
_atom_site_fract_z
Tb1 Tb 0.0000 0.0000 0.0000
Tb2 Tb 0.0000 0.0000 0.1254
Tb3 Tb 0.0000 0.0000 0.6244
Zr1 Zr 0.0000 0.0000 0.4999
Al1 Al 0.0000 0.0000 0.3123
Al2 Al 0.0000 0.0000 0.8127
Al3 Al 0.0014 0.5007 0.0642
Al4 Al 0.1671 0.3341 0.8941

# ScTlCd2 (PBE, relaxed)
# Magnetic moment (μB/atom): 0.00
# Energy relative to the elements (eV/atom): 0.051
data_ScTlCd2
_cell_length_a 8.2095
_cell_length_b 8.2095
_cell_length_c 6.0660
_cell_angle_alpha 90.00
_cell_angle_beta 90.00
_cell_angle_gamma 90.00
_symmetry_space_group_name_H-M 'I -4 2 d'
_symmetry_Int_Tables_number 122
_symmetry_space_group_name_Hall 'I -4 2bw'
loop_
_atom_site_label
_atom_site_type_symbol
_atom_site_fract_x
_atom_site_fract_y
_atom_site_fract_z
Sc1 Sc 0.0000 0.0000 0.0000
Tl1 Tl 0.0000 0.0000 0.5000
Cd1 Cd 0.2474 0.2500 0.6250